Entry 1:
Compound: Na2TiSiO5
Source: Alexandria
Functional: PBEsol
Structure: relaxed

Cell lengths 6.473, 6.473, 5.111 Å; angles 90.00, 90.00, 90.00 degrees
Space group P4/nmm (No. 129, origin choice 2)
Asymmetric unit:
1 Na 0.000 0.000 0.000 x4
2 Ti 0.250 0.250 0.435 x2
3 Si 0.250 0.750 0.500 x2
4 O 0.042 0.750 0.684 x8
5 O 0.250 0.250 0.771 x2

Computed properties:
Formation energy without anion corrections ... -2.624 eV per atom
Magnetization ... 0.00 μB/atom
Total energy ... -7.415 eV per atom

Entry 2:
Compound: Ba2ReSi
Source: Alexandria
Functional: PBEsol
Structure: relaxed

Cell lengths 7.651, 7.651, 7.651 Å; angles 90.00, 90.00, 90.00 degrees
Space group Fm-3m (No. 225)
Asymmetric unit:
1 Ba 0.250 0.250 0.250 x8
2 Re 0.000 0.000 0.000 x4
3 Si 0.000 0.000 0.500 x4

Computed properties:
Formation energy without anion corrections ... 1.040 eV per atom
Magnetization ... 0.44 μB/atom
Total energy ... -4.804 eV per atom